(1)
A plane-wave DFT calculation with PBE was carried out for a relaxed Y3CoB crystal.

The structure in POSCAR format:
```
Y3CoB
1.0
4.969 0.000 0.000
0.000 4.969 0.000
0.000 0.000 4.969
Y Co B
3 1 1
direct
0.000 0.000 0.500
0.000 0.500 0.000
0.500 0.000 0.000
0.500 0.500 0.500
0.000 0.000 0.000
```

Calculated values
DOS(E_F): 5.99 states/eV/f.u.
volume: 122.7 Å³/cell
formation enthalpy at 0 K: 307 meV per atom

(2)
A plane-wave DFT calculation with PBE was carried out for a relaxed HgSbOs2 crystal.

The structure in POSCAR format:
```
HgSbOs2
1.0
8.557 0.000 0.000
0.000 3.068 0.000
-1.052 0.000 5.520
Hg Sb Os
2 2 4
direct
0.000 0.000 0.000
0.500 0.500 0.000
0.000 0.500 0.500
0.500 0.000 0.500
0.247 0.000 0.712
0.253 0.500 0.288
0.747 0.500 0.712
0.753 0.000 0.288
```

Calculated values
DOS(E_F): 2.51 states/eV/f.u.
volume: 144.9 Å³/cell
formation energy from raw total energies: 0.81 eV/atom

(3)
A plane-wave DFT calculation with PBE was carried out for a relaxed LaNd7Sm12 crystal.

The structure in POSCAR format:
```
LaNd7Sm12
1.0
-5.790 5.790 5.790
5.790 -5.790 5.790
5.790 5.790 -5.790
La Nd Sm
1 7 12
direct
0.000 0.000 0.000
0.000 0.000 0.500
0.000 0.500 0.000
0.000 0.500 0.500
0.500 0.000 0.000
0.500 0.000 0.500
0.500 0.500 0.000
0.500 0.500 0.500
0.001 0.748 0.253
0.252 0.253 0.504
0.252 0.747 0.999
0.253 0.001 0.748
0.253 0.504 0.252
0.496 0.748 0.747
0.504 0.252 0.253
0.747 0.496 0.748
0.747 0.999 0.252
0.748 0.253 0.001
0.748 0.747 0.496
0.999 0.252 0.747
```

Calculated values
DOS(E_F): 28.85 states/eV/f.u.
volume: 776.3 Å³/cell
formation enthalpy at 0 K: 588 meV per atom

(4)
A plane-wave DFT calculation with PBE was carried out for a relaxed Rb2Tl15Sn2 crystal.

The structure in POSCAR format:
```
Rb2Tl15Sn2
1.0
5.757 3.324 5.637
-5.757 3.324 5.637
0.000 -6.648 5.637
Rb Tl Sn
2 15 2
direct
0.166 0.166 0.166
0.834 0.834 0.834
0.000 0.500 0.500
0.148 0.148 0.653
0.148 0.653 0.148
0.208 0.500 0.792
0.208 0.792 0.500
0.347 0.852 0.852
0.500 0.000 0.500
0.500 0.208 0.792
0.500 0.500 0.000
0.500 0.792 0.208
0.653 0.148 0.148
0.792 0.208 0.500
0.792 0.500 0.208
0.852 0.347 0.852
0.852 0.852 0.347
0.409 0.409 0.409
0.591 0.591 0.591
```

Calculated values
DOS(E_F): 10.92 states/eV/f.u.
volume: 647.3 Å³/cell
formation enthalpy at 0 K: -19 meV per atom

(5)
A plane-wave DFT calculation with PBE was carried out for a relaxed LiPtI crystal.

The structure in POSCAR format:
```
LiPtI
1.0
4.519 0.000 0.000
-2.259 3.914 0.000
0.000 0.000 7.738
Li Pt I
2 2 2
direct
0.000 0.000 0.000
0.000 0.000 0.500
0.333 0.667 0.200
0.333 0.667 0.800
0.667 0.333 0.254
0.667 0.333 0.746
```

Calculated values
DOS(E_F): 0.86 states/eV/f.u.
volume: 136.8 Å³/cell
formation energy from raw total energies: -0.18 eV/atom

(6)
A plane-wave DFT calculation with PBE was carried out for a relaxed CaRe2Ir crystal.

The structure in POSCAR format:
```
CaRe2Ir
1.0
3.003 0.000 0.000
0.000 3.003 0.000
0.000 0.000 7.886
Ca Re Ir
1 2 1
direct
0.000 0.000 0.000
0.000 0.000 0.499
0.500 0.500 0.687
0.500 0.500 0.275
```

Calculated values
DOS(E_F): 4.37 states/eV/f.u.
volume: 71.1 Å³/cell
formation enthalpy at 0 K: 255 meV per atom

(7)
A plane-wave DFT calculation with PBE was carried out for a relaxed CdHPt2Au crystal.

The structure in POSCAR format:
```
CdHPt2Au
1.0
4.101 0.000 0.000
0.000 4.101 0.000
0.000 0.000 4.241
Cd H Pt Au
1 1 2 1
direct
0.000 0.000 0.000
0.500 0.500 0.500
0.000 0.500 0.500
0.500 0.000 0.500
0.500 0.500 0.000
```

Calculated values
DOS(E_F): 0.66 states/eV/f.u.
electronic total energy: -4.0114 eV/atom
volume: 71.3 Å³/cell

(8)
A plane-wave DFT calculation with PBE was carried out for a relaxed CsMn3Sb crystal.

The structure in POSCAR format:
```
CsMn3Sb
1.0
5.142 0.000 0.000
0.000 5.142 0.000
0.000 0.000 5.142
Cs Mn Sb
1 3 1
direct
0.000 0.000 0.000
0.000 0.000 0.500
0.000 0.500 0.000
0.500 0.000 0.000
0.500 0.500 0.500
```

Calculated values
DOS(E_F): 4.84 states/eV/f.u.
volume: 135.9 Å³/cell
formation energy from raw total energies: 2.13 eV/atom